(1)
Here is an optimized crystal structure of Re2SbRh from Alexandria via LeMat-Bulk. Energies are from GGA-PBEsol.

Properties
- Size of the total moment: 0.00 μB/f.u.
- Density of states at the Fermi level: 3.13 states/eV/cell
- Uncorrected formation energy: 202 meV/atom
- Electronic total energy: -9.6381 eV/atom

Cell lengths 2.9259, 2.9259, 7.3774 Å; angles 90.00, 90.00, 90.00 degrees
Space group P4mm (No. 99)
Symmetry-distinct sites (fractional):
Re 0.0000 0.0000 0.0000 (multiplicity 1)
Re 0.5000 0.5000 0.2220 (multiplicity 1)
Sb 0.5000 0.5000 0.7261 (multiplicity 1)
Rh 0.0000 0.0000 0.4718 (multiplicity 1)

(2)
Here is an optimized crystal structure of ReSbRh2 from Alexandria via LeMat-Bulk. Energies are from GGA-PBEsol.

Properties
- Size of the total moment: 0.00 μB/f.u.
- Density of states at the Fermi level: 8.84 states/eV/cell
- Uncorrected formation energy: 125 meV/atom
- Electronic total energy: -8.4166 eV/atom

Cell lengths 5.4895, 7.8291, 2.8376 Å; angles 90.00, 90.00, 90.00 degrees
Space group Cmmm (No. 65)
Symmetry-distinct sites (fractional):
Re 0.0000 0.0000 0.0000 (multiplicity 2)
Sb 0.0000 0.5000 0.0000 (multiplicity 2)
Rh 0.2500 0.2500 0.5000 (multiplicity 4)

(3)
Here is an optimized crystal structure of Re2SbRh from Alexandria via LeMat-Bulk. Energies are from GGA-PBEsol.

Properties
- Size of the total moment: 0.00 μB/f.u.
- Density of states at the Fermi level: 4.53 states/eV/cell
- Uncorrected formation energy: 367 meV/atom
- Electronic total energy: -9.4734 eV/atom

Cell lengths 3.1132, 4.5085, 8.8239 Å; angles 90.00, 90.00, 90.00 degrees
Space group Imm2 (No. 44)
Symmetry-distinct sites (fractional):
Re 0.0000 0.0000 0.0000 (multiplicity 2)
Re 0.0000 0.5000 0.2468 (multiplicity 2)
Sb 0.0000 0.0000 0.5026 (multiplicity 2)
Rh 0.0000 0.5000 0.7754 (multiplicity 2)

(4)
Here is an optimized crystal structure of ReSb2TeRh from Alexandria via LeMat-Bulk. Energies are from GGA-PBEsol.

Properties
- Size of the total moment: 2.38 μB/f.u.
- Density of states at the Fermi level: 4.31 states/eV/cell
- Uncorrected formation energy: 1300 meV/atom
- Electronic total energy: -5.5218 eV/atom

Cell lengths 4.9363, 4.9363, 5.1102 Å; angles 90.00, 90.00, 90.00 degrees
Space group P4/mmm (No. 123)
Symmetry-distinct sites (fractional):
Re 0.0000 0.0000 0.0000 (multiplicity 1)
Sb 0.0000 0.5000 0.5000 (multiplicity 2)
Te 0.5000 0.5000 0.0000 (multiplicity 1)
Rh 0.5000 0.5000 0.5000 (multiplicity 1)

(5)
Here is an optimized crystal structure of ScRe2Rh from Alexandria via LeMat-Bulk. Energies are from GGA-PBEsol.

Properties
- Size of the total moment: 0.00 μB/f.u.
- Density of states at the Fermi level: 7.77 states/eV/cell
- Electronic total energy: -10.3558 eV/atom
- ΔH_f (0 K): -4 meV/atom

Cell lengths 3.1620, 4.5135, 8.6137 Å; angles 90.00, 90.00, 90.00 degrees
Space group Imm2 (No. 44)
Symmetry-distinct sites (fractional):
Sc 0.0000 0.0000 0.0000 (multiplicity 2)
Re 0.0000 0.0000 0.4911 (multiplicity 2)
Re 0.0000 0.5000 0.7637 (multiplicity 2)
Rh 0.0000 0.5000 0.2404 (multiplicity 2)

(6)
Here is an optimized crystal structure of ScReRh from Alexandria via LeMat-Bulk. Energies are from GGA-PBEsol.

Properties
- Size of the total moment: 0.00 μB/f.u.
- Density of states at the Fermi level: 5.82 states/eV/cell
- Electronic total energy: -9.4336 eV/atom
- ΔH_f (0 K): -75 meV/atom

Cell lengths 2.8449, 3.6262, 9.1571 Å; angles 90.00, 90.00, 90.00 degrees
Space group Imm2 (No. 44)
Symmetry-distinct sites (fractional):
Sc 0.0000 0.0000 0.0000 (multiplicity 2)
Re 0.0000 0.0000 0.3182 (multiplicity 2)
Rh 0.0000 0.0000 0.6749 (multiplicity 2)